Entry from Alexandria via LeMat-Bulk: crystalline DyTlCr2O6 at its relaxed geometry (PBE+U).

Computed properties:
As for the total moment: 0.600 μB/atom. Its total energy is -7.18 eV per atom.

a b c (Å): 5.502 5.502 5.410
angles (deg): 119.41 119.41 91.08
Atoms (fractional coordinates):
Dy1 0.000 0.000 0.000
Tl1 0.501 0.501 0.048
Cr1 0.253 0.761 0.534
Cr2 0.761 0.253 0.534
O1 0.015 0.015 0.422
O2 0.073 0.438 0.037
O3 0.438 0.073 0.037
O4 0.520 0.520 0.667
O5 0.573 0.939 0.534
O6 0.939 0.573 0.534